Entry 1:
This record from Alexandria describes a geometry-optimized Pm8SnSe6 structure. The functional is PBE.

Computed properties:
E_tot: -84.00 eV per cell
Energy relative to the elements, uncorrected: -1.406 eV/atom

Cell lengths 4.2023, 10.8054, 10.8054 Å; angles 120.00, 90.00, 90.00 degrees
Fractional positions:
Pm1 0.2531 0.2895 0.3241
Se1 0.2501 0.5172 0.6491
Pm2 0.2513 0.6667 0.3333
Se2 0.7499 0.6491 0.1319
Pm3 0.7487 0.3333 0.6667
Pm4 0.7469 0.3241 0.0346
Se3 0.7499 0.8681 0.5172
Pm5 0.7469 0.9654 0.2895
Se4 0.2501 0.1319 0.4828
Pm6 0.2531 0.0346 0.7105
Pm7 0.2531 0.6759 0.9654
Se5 0.2501 0.3509 0.8681
Pm8 0.7469 0.7105 0.6759
Se6 0.7499 0.4828 0.3509
Sn1 0.5000 0.0000 0.0000

---

Entry 2:
This record from Alexandria describes a geometry-optimized LaZr2Mo structure. The functional is PBE.

Computed properties:
E_tot: -32.02 eV per cell
Offset from the most stable computed form: 48 kJ/mol of formula units
Energy relative to the elements: 208.1 meV/atom

Cell lengths 3.5109, 3.5109, 7.7290 Å; angles 90.00, 90.00, 90.00 degrees
Fractional positions:
La1 0.0000 0.0000 0.5280
Mo1 0.5000 0.5000 0.7939
Zr1 0.0000 0.0000 0.9713
Zr2 0.5000 0.5000 0.2068